# TcOsOF2 | the Alexandria database | PBE-GGA | optimized geometry
# Energy relative to the elements, uncorrected   0.05 eV/atom
# Crystal system   tetragonal
# Offset from the most stable computed form   0 meV per atom
# E   -6.01 eV/atom
data_TcOsOF2
_cell_length_a 4.501
_cell_length_b 4.501
_cell_length_c 3.692
_cell_angle_alpha 90.00
_cell_angle_beta 90.00
_cell_angle_gamma 90.00
_space_group_name_H-M_alt 'P 4/m m m'
_space_group_IT_number 123
_space_group_name_Hall '-P 4 2'
loop_
_atom_site_label
_atom_site_fract_x
_atom_site_fract_y
_atom_site_fract_z
Tc1 0.000 0.000 0.000
Os1 0.500 0.500 0.500
O1 0.500 0.500 0.000
F1 0.000 0.500 0.500